Entry 1:
Nd2NiO4 | PBE with a Hubbard U | relaxed

Values from the calculation:
For the polymorph energy (0 for the lowest one), the calculation gives 0.0000 eV per atom.

Structure (POSCAR):
```
Nd2NiO4
1.0
5.579 0.000 0.000
0.000 5.579 0.000
0.000 0.000 12.128
Nd Ni O
8 4 16
Direct
0.017 0.017 0.137 Nd
0.017 0.483 0.637 Nd
0.483 0.017 0.637 Nd
0.483 0.483 0.137 Nd
0.517 0.517 0.863 Nd
0.517 0.983 0.363 Nd
0.983 0.517 0.363 Nd
0.983 0.983 0.863 Nd
0.000 0.000 0.500 Ni
0.000 0.500 0.000 Ni
0.500 0.000 0.000 Ni
0.500 0.500 0.500 Ni
0.055 0.055 0.680 O
0.055 0.445 0.180 O
0.250 0.250 0.469 O
0.250 0.250 0.969 O
0.250 0.750 0.000 O
0.250 0.750 0.500 O
0.445 0.055 0.180 O
0.445 0.445 0.680 O
0.555 0.555 0.320 O
0.555 0.945 0.820 O
0.750 0.250 0.000 O
0.750 0.250 0.500 O
0.750 0.750 0.031 O
0.750 0.750 0.531 O
0.945 0.555 0.820 O
0.945 0.945 0.320 O
```



Entry 2:
Nd2NiO4 | PBE with a Hubbard U | relaxed

Values from the calculation:
For the polymorph energy (0 for the lowest one), the calculation gives 0.0034 eV per atom.

Structure (POSCAR):
```
Nd2NiO4
1.0
2.709 -6.087 0.000
2.709 6.087 0.000
0.000 0.000 5.698
Nd Ni O
4 2 8
Direct
0.137 0.863 0.983 Nd
0.363 0.637 0.483 Nd
0.637 0.363 0.517 Nd
0.863 0.137 0.017 Nd
0.000 0.000 0.500 Ni
0.500 0.500 0.000 Ni
0.180 0.820 0.574 O
0.228 0.272 0.750 O
0.272 0.228 0.250 O
0.320 0.680 0.074 O
0.680 0.320 0.926 O
0.728 0.772 0.750 O
0.772 0.728 0.250 O
0.820 0.180 0.426 O
```



Entry 3:
Nd2NiO4 | PBE with a Hubbard U | relaxed

Values from the calculation:
For the polymorph energy (0 for the lowest one), the calculation gives 0.0423 eV per atom.

Structure (POSCAR):
```
Nd2NiO4
1.0
-1.971 2.042 6.109
1.971 -2.042 6.109
1.971 2.042 -6.109
Nd Ni O
2 1 4
Direct
0.150 0.150 0.000 Nd
0.850 0.850 0.000 Nd
0.500 0.500 0.000 Ni
0.000 0.500 0.500 O
0.254 0.754 0.500 O
0.500 0.000 0.500 O
0.746 0.246 0.500 O
```



Entry 4:
NdNiO3 | PBE with a Hubbard U | relaxed

Values from the calculation:
Its total energy is -6.55 eV/atom.

Structure (POSCAR):
```
NdNiO3
1.0
5.509 0.000 0.000
0.000 7.717 0.000
0.000 0.000 5.422
Nd Ni O
4 4 12
Direct
0.050 0.250 0.011 Nd
0.450 0.750 0.511 Nd
0.550 0.250 0.489 Nd
0.950 0.750 0.989 Nd
0.000 0.000 0.500 Ni
0.000 0.500 0.500 Ni
0.500 0.000 0.000 Ni
0.500 0.500 0.000 Ni
0.014 0.750 0.421 O
0.210 0.543 0.788 O
0.210 0.957 0.788 O
0.290 0.043 0.288 O
0.290 0.457 0.288 O
0.486 0.250 0.921 O
0.514 0.750 0.079 O
0.710 0.543 0.712 O
0.710 0.957 0.712 O
0.790 0.043 0.212 O
0.790 0.457 0.212 O
0.986 0.250 0.579 O
```



Entry 5:
NdNiO2 | PBE with a Hubbard U | relaxed

Values from the calculation:
Its total energy is -6.39 eV/atom.

Structure (POSCAR):
```
NdNiO2
1.0
3.967 0.000 0.000
0.000 3.967 0.000
0.000 0.000 3.261
Nd Ni O
1 1 2
Direct
0.000 0.000 0.000 Nd
0.500 0.500 0.500 Ni
0.000 0.500 0.500 O
0.500 0.000 0.500 O
```



Entry 6:
Nd4Ni3O10 | PBE with a Hubbard U | relaxed

Values from the calculation:
Its total energy is -6.83 eV/atom.

Structure (POSCAR):
```
Nd4Ni3O10
1.0
14.120 0.000 0.000
0.000 5.513 0.000
-1.044 0.000 5.384
Nd Ni O
8 6 20
Direct
0.100 0.014 0.318 Nd
0.100 0.486 0.818 Nd
0.363 0.009 0.381 Nd
0.363 0.491 0.881 Nd
0.637 0.509 0.119 Nd
0.637 0.991 0.619 Nd
0.900 0.514 0.182 Nd
0.900 0.986 0.682 Nd
0.221 0.504 0.351 Ni
0.221 0.996 0.851 Ni
0.500 0.000 0.000 Ni
0.500 0.500 0.500 Ni
0.779 0.004 0.149 Ni
0.779 0.496 0.649 Ni
0.065 0.063 0.760 O
0.065 0.437 0.260 O
0.197 0.726 0.613 O
0.197 0.774 0.113 O
0.240 0.225 0.585 O
0.240 0.275 0.085 O
0.364 0.584 0.446 O
0.364 0.916 0.946 O
0.474 0.212 0.694 O
0.474 0.288 0.194 O
0.526 0.712 0.806 O
0.526 0.788 0.306 O
0.636 0.084 0.054 O
0.636 0.416 0.554 O
0.760 0.725 0.915 O
0.760 0.775 0.415 O
0.803 0.226 0.887 O
0.803 0.274 0.387 O
0.935 0.563 0.740 O
0.935 0.937 0.240 O
```